This record from Alexandria via LeMat-Bulk describes a relaxed ReHgRu2 crystal. The functional is PBE.

formation energy: 0.86 eV/atom
symmetry: No. 216

Structure (CIF):
```
data_ReHgRu2
_cell_length_a 4.4907
_cell_length_b 4.4907
_cell_length_c 4.4907
_cell_angle_alpha 60.00
_cell_angle_beta 60.00
_cell_angle_gamma 60.00
_symmetry_space_group_name_H-M 'P 1'
_symmetry_Int_Tables_number 1
loop_
_symmetry_equiv_pos_as_xyz
'x,y,z'
loop_
_atom_site_label
_atom_site_fract_x
_atom_site_fract_y
_atom_site_fract_z
_atom_site_occupancy
Hg1 0.5000 0.5000 0.5000 1
Ru1 0.7500 0.7500 0.7500 1
Ru2 0.0000 0.0000 0.0000 1
Re1 0.2500 0.2500 0.2500 1
```

This record from Alexandria via LeMat-Bulk describes a relaxed ReHgRu2 crystal. The functional is PBE.

formation energy: 0.48 eV/atom
symmetry: No. 12

Structure (CIF):
```
data_ReHgRu2
_cell_length_a 4.7781
_cell_length_b 4.7781
_cell_length_c 5.0191
_cell_angle_alpha 80.32
_cell_angle_beta 80.32
_cell_angle_gamma 34.27
_symmetry_space_group_name_H-M 'P 1'
_symmetry_Int_Tables_number 1
loop_
_symmetry_equiv_pos_as_xyz
'x,y,z'
loop_
_atom_site_label
_atom_site_fract_x
_atom_site_fract_y
_atom_site_fract_z
_atom_site_occupancy
Hg1 0.7500 0.7500 0.7500 1
Ru1 0.5110 0.5110 0.4640 1
Ru2 0.9890 0.9890 0.0360 1
Re1 0.2500 0.2500 0.2500 1
```

This record from Alexandria via LeMat-Bulk describes a relaxed ReHgRu2 crystal. The functional is PBE.

formation energy: 0.25 eV/atom
symmetry: No. 123

Structure (CIF):
```
data_ReHgRu2
_cell_length_a 2.8478
_cell_length_b 2.8478
_cell_length_c 7.8063
_cell_angle_alpha 90.00
_cell_angle_beta 90.00
_cell_angle_gamma 90.00
_symmetry_space_group_name_H-M 'P 1'
_symmetry_Int_Tables_number 1
loop_
_symmetry_equiv_pos_as_xyz
'x,y,z'
loop_
_atom_site_label
_atom_site_fract_x
_atom_site_fract_y
_atom_site_fract_z
_atom_site_occupancy
Ru1 0.0000 0.0000 0.9735 1
Hg1 0.5000 0.5000 0.2500 1
Re1 0.5000 0.5000 0.7500 1
Ru2 0.0000 0.0000 0.5265 1
```

This record from Alexandria via LeMat-Bulk describes a relaxed ReHg2Ru crystal. The functional is PBE.

formation energy: 0.52 eV/atom
symmetry: No. 8

Structure (CIF):
```
data_ReHg2Ru
_cell_length_a 3.5104
_cell_length_b 3.5104
_cell_length_c 9.5560
_cell_angle_alpha 72.34
_cell_angle_beta 72.34
_cell_angle_gamma 47.67
_symmetry_space_group_name_H-M 'P 1'
_symmetry_Int_Tables_number 1
loop_
_symmetry_equiv_pos_as_xyz
'x,y,z'
loop_
_atom_site_label
_atom_site_fract_x
_atom_site_fract_y
_atom_site_fract_z
_atom_site_occupancy
Hg1 0.7192 0.7192 0.7279 1
Re1 0.4645 0.4645 0.4575 1
Ru1 0.2876 0.2876 0.2911 1
Hg2 0.0287 0.0287 0.0235 1
```

This record from Alexandria via LeMat-Bulk describes a relaxed ReHgRu2 crystal. The functional is PBE.

formation energy: 0.82 eV/atom
symmetry: No. 122

Structure (CIF):
```
data_ReHgRu2
_cell_length_a 7.1877
_cell_length_b 7.1877
_cell_length_c 5.7963
_cell_angle_alpha 51.68
_cell_angle_beta 51.68
_cell_angle_gamma 90.00
_symmetry_space_group_name_H-M 'P 1'
_symmetry_Int_Tables_number 1
loop_
_symmetry_equiv_pos_as_xyz
'x,y,z'
loop_
_atom_site_label
_atom_site_fract_x
_atom_site_fract_y
_atom_site_fract_z
_atom_site_occupancy
Re1 0.5000 0.5000 0.0000 1
Ru1 0.5738 0.1250 0.2500 1
Hg1 0.0000 0.0000 0.0000 1
Hg2 0.7500 0.2500 0.5000 1
Ru2 0.8750 0.8238 0.7500 1
Ru3 0.1762 0.6250 0.2500 1
Re2 0.2500 0.7500 0.5000 1
Ru4 0.3750 0.4262 0.7500 1
```

This record from Alexandria via LeMat-Bulk describes a relaxed ReHg2Ru crystal. The functional is PBE.

formation energy: 0.88 eV/atom
symmetry: No. 47

Structure (CIF):
```
data_ReHg2Ru
_cell_length_a 2.8905
_cell_length_b 4.9694
_cell_length_c 4.9240
_cell_angle_alpha 90.00
_cell_angle_beta 90.00
_cell_angle_gamma 90.00
_symmetry_space_group_name_H-M 'P 1'
_symmetry_Int_Tables_number 1
loop_
_symmetry_equiv_pos_as_xyz
'x,y,z'
loop_
_atom_site_label
_atom_site_fract_x
_atom_site_fract_y
_atom_site_fract_z
_atom_site_occupancy
Hg1 0.5000 0.5000 0.0000 1
Hg2 0.0000 0.0000 0.0000 1
Re1 0.5000 0.0000 0.5000 1
Ru1 0.0000 0.5000 0.5000 1
```

This record from Alexandria via LeMat-Bulk describes a relaxed ReHg2Ru crystal. The functional is PBE.

formation energy: 1.35 eV/atom
symmetry: No. 122

Structure (CIF):
```
data_ReHg2Ru
_cell_length_a 7.6131
_cell_length_b 7.6131
_cell_length_c 6.0111
_cell_angle_alpha 50.71
_cell_angle_beta 50.71
_cell_angle_gamma 90.00
_symmetry_space_group_name_H-M 'P 1'
_symmetry_Int_Tables_number 1
loop_
_symmetry_equiv_pos_as_xyz
'x,y,z'
loop_
_atom_site_label
_atom_site_fract_x
_atom_site_fract_y
_atom_site_fract_z
_atom_site_occupancy
Hg1 0.6226 0.1250 0.2500 1
Hg2 0.8750 0.8726 0.7500 1
Ru1 0.2500 0.7500 0.5000 1
Re1 0.7500 0.2500 0.5000 1
Hg3 0.3750 0.3774 0.7500 1
Hg4 0.1274 0.6250 0.2500 1
Re2 0.0000 0.0000 0.0000 1
Ru2 0.5000 0.5000 0.0000 1
```

This record from Alexandria via LeMat-Bulk describes a relaxed ReHg2Ru crystal. The functional is PBE.

formation energy: 0.95 eV/atom
symmetry: No. 47

Structure (CIF):
```
data_ReHg2Ru
_cell_length_a 2.8085
_cell_length_b 4.3483
_cell_length_c 5.7897
_cell_angle_alpha 90.00
_cell_angle_beta 90.00
_cell_angle_gamma 90.00
_symmetry_space_group_name_H-M 'P 1'
_symmetry_Int_Tables_number 1
loop_
_symmetry_equiv_pos_as_xyz
'x,y,z'
loop_
_atom_site_label
_atom_site_fract_x
_atom_site_fract_y
_atom_site_fract_z
_atom_site_occupancy
Re1 0.5000 0.5000 0.2500 1
Hg1 0.0000 0.0000 0.5010 1
Ru1 0.5000 0.5000 0.7500 1
Hg2 0.0000 0.0000 0.9990 1
```

This record from Alexandria via LeMat-Bulk describes a relaxed Re2HgRu crystal. The functional is PBE.

formation energy: 0.42 eV/atom
symmetry: No. 166

Structure (CIF):
```
data_Re2HgRu
_cell_length_a 9.5065
_cell_length_b 9.5065
_cell_length_c 9.5065
_cell_angle_alpha 17.01
_cell_angle_beta 17.01
_cell_angle_gamma 17.01
_symmetry_space_group_name_H-M 'P 1'
_symmetry_Int_Tables_number 1
loop_
_symmetry_equiv_pos_as_xyz
'x,y,z'
loop_
_atom_site_label
_atom_site_fract_x
_atom_site_fract_y
_atom_site_fract_z
_atom_site_occupancy
Ru1 0.2500 0.2500 0.2500 1
Re1 0.5079 0.5079 0.5079 1
Hg1 0.7500 0.7500 0.7500 1
Re2 0.9921 0.9921 0.9921 1
```

This record from Alexandria via LeMat-Bulk describes a relaxed ReHg2Ru crystal. The functional is PBE.

formation energy: 0.86 eV/atom
symmetry: No. 65

Structure (CIF):
```
data_ReHg2Ru
_cell_length_a 2.8589
_cell_length_b 2.8589
_cell_length_c 9.8228
_cell_angle_alpha 90.00
_cell_angle_beta 90.00
_cell_angle_gamma 118.15
_symmetry_space_group_name_H-M 'P 1'
_symmetry_Int_Tables_number 1
loop_
_symmetry_equiv_pos_as_xyz
'x,y,z'
loop_
_atom_site_label
_atom_site_fract_x
_atom_site_fract_y
_atom_site_fract_z
_atom_site_occupancy
Re1 0.5000 0.5000 0.2500 1
Ru1 0.5000 0.5000 0.7500 1
Hg1 0.0000 0.0000 0.5048 1
Hg2 0.0000 0.0000 0.9952 1
```

This record from Alexandria via LeMat-Bulk describes a relaxed ReHgRu2 crystal. The functional is PBE.

formation energy: 0.51 eV/atom
symmetry: No. 8

Structure (CIF):
```
data_ReHgRu2
_cell_length_a 4.8954
_cell_length_b 4.8954
_cell_length_c 4.8544
_cell_angle_alpha 79.50
_cell_angle_beta 79.50
_cell_angle_gamma 33.59
_symmetry_space_group_name_H-M 'P 1'
_symmetry_Int_Tables_number 1
loop_
_symmetry_equiv_pos_as_xyz
'x,y,z'
loop_
_atom_site_label
_atom_site_fract_x
_atom_site_fract_y
_atom_site_fract_z
_atom_site_occupancy
Re1 0.2631 0.2631 0.2052 1
Hg1 0.4980 0.4980 0.5126 1
Ru1 0.7372 0.7372 0.7638 1
Ru2 0.0018 0.0018 0.0183 1
```

This record from Alexandria via LeMat-Bulk describes a relaxed ReHg2Ru crystal. The functional is PBE.

formation energy: 0.80 eV/atom
symmetry: No. 166

Structure (CIF):
```
data_ReHg2Ru
_cell_length_a 9.5279
_cell_length_b 9.5279
_cell_length_c 9.5279
_cell_angle_alpha 17.64
_cell_angle_beta 17.64
_cell_angle_gamma 17.64
_symmetry_space_group_name_H-M 'P 1'
_symmetry_Int_Tables_number 1
loop_
_symmetry_equiv_pos_as_xyz
'x,y,z'
loop_
_atom_site_label
_atom_site_fract_x
_atom_site_fract_y
_atom_site_fract_z
_atom_site_occupancy
Re1 0.2500 0.2500 0.2500 1
Hg1 0.0014 0.0014 0.0014 1
Ru1 0.7500 0.7500 0.7500 1
Hg2 0.4986 0.4986 0.4986 1
```

This record from Alexandria via LeMat-Bulk describes a relaxed Re2HgRu crystal. The functional is PBE.

formation energy: 0.73 eV/atom
symmetry: No. 65

Structure (CIF):
```
data_Re2HgRu
_cell_length_a 4.9413
_cell_length_b 4.9413
_cell_length_c 2.8208
_cell_angle_alpha 90.00
_cell_angle_beta 90.00
_cell_angle_gamma 113.46
_symmetry_space_group_name_H-M 'P 1'
_symmetry_Int_Tables_number 1
loop_
_symmetry_equiv_pos_as_xyz
'x,y,z'
loop_
_atom_site_label
_atom_site_fract_x
_atom_site_fract_y
_atom_site_fract_z
_atom_site_occupancy
Hg1 0.0000 0.5000 0.5000 1
Re1 0.0000 0.0000 0.0000 1
Ru1 0.5000 0.0000 0.5000 1
Re2 0.5000 0.5000 0.0000 1
```

This record from Alexandria via LeMat-Bulk describes a relaxed ReHgRu2 crystal. The functional is PBE.

formation energy: 0.71 eV/atom
symmetry: No. 123

Structure (CIF):
```
data_ReHgRu2
_cell_length_a 3.7835
_cell_length_b 4.0645
_cell_length_c 4.0645
_cell_angle_alpha 90.00
_cell_angle_beta 90.00
_cell_angle_gamma 90.00
_symmetry_space_group_name_H-M 'P 1'
_symmetry_Int_Tables_number 1
loop_
_symmetry_equiv_pos_as_xyz
'x,y,z'
loop_
_atom_site_label
_atom_site_fract_x
_atom_site_fract_y
_atom_site_fract_z
_atom_site_occupancy
Hg1 0.5000 0.5000 0.0000 1
Ru1 0.0000 0.5000 0.5000 1
Re1 0.5000 0.0000 0.5000 1
Ru2 0.0000 0.0000 0.0000 1
```

This record from Alexandria via LeMat-Bulk describes a relaxed Re2HgRu crystal. The functional is PBE.

formation energy: 0.50 eV/atom
symmetry: No. 123

Structure (CIF):
```
data_Re2HgRu
_cell_length_a 2.7688
_cell_length_b 2.7688
_cell_length_c 8.3338
_cell_angle_alpha 90.00
_cell_angle_beta 90.00
_cell_angle_gamma 90.00
_symmetry_space_group_name_H-M 'P 1'
_symmetry_Int_Tables_number 1
loop_
_symmetry_equiv_pos_as_xyz
'x,y,z'
loop_
_atom_site_label
_atom_site_fract_x
_atom_site_fract_y
_atom_site_fract_z
_atom_site_occupancy
Re1 0.0000 0.0000 0.0247 1
Ru1 0.5000 0.5000 0.2500 1
Re2 0.0000 0.0000 0.4753 1
Hg1 0.5000 0.5000 0.7500 1
```